Entry 1:
The following is a PBE-GGA calculation of ZrNb3Cr after structural relaxation, from the Alexandria database. Values from VASP.

Quantum ESPRESSO input file:
```
&SYSTEM
  ibrav = 0, nat = 5, ntyp = 3
/
ATOMIC_SPECIES
Nb 92.91 Nb.upf
Cr 52.00 Cr.upf
Zr 91.22 Zr.upf
ATOMIC_POSITIONS crystal
Nb 0.5000 0.0000 0.0000
Nb 0.0000 0.0000 0.5000
Nb 0.0000 0.5000 0.0000
Cr 0.0000 0.0000 0.0000
Zr 0.5000 0.5000 0.5000
CELL_PARAMETERS angstrom
4.6615 0.0000 0.0000
0.0000 4.6615 0.0000
0.0000 0.0000 4.6615
```

SG ... No. 221
M_tot ... 0.000 μB per atom
Energy above the lowest structure with this stoichiometry ... 0.0 meV/atom

=====

Entry 2:
The following is a PBE-GGA calculation of ZrNbCr after structural relaxation, from the Alexandria database. Values from VASP.

Quantum ESPRESSO input file:
```
&SYSTEM
  ibrav = 0, nat = 12, ntyp = 3
/
ATOMIC_SPECIES
Zr 91.22 Zr.upf
Cr 52.00 Cr.upf
Nb 92.91 Nb.upf
ATOMIC_POSITIONS crystal
Zr 0.9101 0.0000 0.4763
Zr 0.0426 0.5000 0.3567
Zr 0.9101 0.5000 0.9763
Zr 0.0426 0.0000 0.8567
Cr 0.4130 0.2458 0.7295
Cr 0.4130 0.7542 0.7295
Cr 0.4130 0.7458 0.2295
Cr 0.4130 0.2542 0.2295
Nb 0.7744 0.5000 0.5946
Nb 0.4115 0.0000 0.4772
Nb 0.7744 0.0000 0.0946
Nb 0.4115 0.5000 0.9772
CELL_PARAMETERS angstrom
-0.7207 1.4833 -5.4339
4.6744 -1.7856 -1.1074
-2.1557 -8.0369 3.8598
```

SG ... No. 8
M_tot ... 0.000 μB per atom
Energy above the lowest structure with this stoichiometry ... 128.2 meV/atom

=====

Entry 3:
The following is a PBE-GGA calculation of ZrNb2Cr after structural relaxation, from the Alexandria database. Values from VASP.

Quantum ESPRESSO input file:
```
&SYSTEM
  ibrav = 0, nat = 4, ntyp = 3
/
ATOMIC_SPECIES
Nb 92.91 Nb.upf
Zr 91.22 Zr.upf
Cr 52.00 Cr.upf
ATOMIC_POSITIONS crystal
Nb 0.0000 0.0000 0.7919
Nb 0.0000 0.0000 0.2081
Zr 0.5000 0.5000 0.5000
Cr 0.5000 0.5000 0.0000
CELL_PARAMETERS angstrom
3.1441 0.0000 0.0000
0.0000 3.1441 0.0000
0.0000 0.0000 7.2013
```

SG ... No. 123
M_tot ... 0.000 μB per atom
Energy above the lowest structure with this stoichiometry ... 0.0 meV/atom

=====

Entry 4:
The following is a PBE-GGA calculation of ZrNbCr after structural relaxation, from the Alexandria database. Values from VASP.

Quantum ESPRESSO input file:
```
&SYSTEM
  ibrav = 0, nat = 12, ntyp = 3
/
ATOMIC_SPECIES
Cr 52.00 Cr.upf
Nb 92.91 Nb.upf
Zr 91.22 Zr.upf
ATOMIC_POSITIONS crystal
Cr 0.0612 0.5000 0.6502
Cr 0.9388 0.0000 0.8498
Cr 0.9388 0.5000 0.3498
Cr 0.0612 0.0000 0.1502
Nb 0.7851 0.5000 0.0268
Nb 0.7851 0.0000 0.5268
Nb 0.2149 0.5000 0.9732
Nb 0.2149 0.0000 0.4732
Zr 0.5945 0.5000 0.6757
Zr 0.4055 0.5000 0.3243
Zr 0.4055 0.0000 0.8243
Zr 0.5945 0.0000 0.1757
CELL_PARAMETERS angstrom
5.8335 0.0000 -0.0003
0.0000 4.3664 0.0000
-5.6390 0.0000 8.2473
```

SG ... No. 12
M_tot ... 0.000 μB per atom
Energy above the lowest structure with this stoichiometry ... 107.1 meV/atom

=====

Entry 5:
The following is a PBE-GGA calculation of Zr2Nb2Cr after structural relaxation, from the Alexandria database. Values from VASP.

Quantum ESPRESSO input file:
```
&SYSTEM
  ibrav = 0, nat = 10, ntyp = 3
/
ATOMIC_SPECIES
Zr 91.22 Zr.upf
Nb 92.91 Nb.upf
Cr 52.00 Cr.upf
ATOMIC_POSITIONS crystal
Zr 0.6664 0.8336 0.5000
Zr 0.1664 0.6664 0.5000
Zr 0.3336 0.1664 0.5000
Zr 0.8336 0.3336 0.5000
Nb 0.3443 0.8443 0.0000
Nb 0.8443 0.6557 0.0000
Nb 0.1557 0.3443 0.0000
Nb 0.6557 0.1557 0.0000
Cr 0.5000 0.5000 0.0000
Cr 0.0000 0.0000 0.0000
CELL_PARAMETERS angstrom
-1.7432 -6.1634 -0.0114
2.4039 -0.6908 5.8967
-4.2942 1.2111 1.8925
```

SG ... No. 127
M_tot ... 0.000 μB per atom

=====

Entry 6:
The following is a PBE-GGA calculation of ZrNbCr after structural relaxation, from the Alexandria database. Values from VASP.

Quantum ESPRESSO input file:
```
&SYSTEM
  ibrav = 0, nat = 6, ntyp = 3
/
ATOMIC_SPECIES
Zr 91.22 Zr.upf
Cr 52.00 Cr.upf
Nb 92.91 Nb.upf
ATOMIC_POSITIONS crystal
Zr 0.2193 0.7588 0.9005
Zr 0.9047 0.1096 0.7245
Cr 0.9095 0.1167 0.2133
Cr 0.5523 0.4137 0.0743
Nb 0.5538 0.4046 0.5063
Nb 0.2243 0.7469 0.3440
CELL_PARAMETERS angstrom
3.1855 -0.0413 0.0021
-1.6176 5.2798 0.0056
0.0163 -2.7593 6.2966
```

SG ... No. 1
M_tot ... 0.000 μB per atom
Energy above the lowest structure with this stoichiometry ... 117.5 meV/atom

=====

E: -9.02; -9.25; -9.48; -9.27; -9.09; -9.26 (eV per atom)
V: 101.3; 213.2; 71.2; 210.1; 198.8; 105.5 (Å³/cell)
Formation energy: 63; 16; 10; 14; 27; 15 (kJ/mol of atoms)